Entry 1:
Na3CuMo | PBE | optimized geometry

Unit cell a=5.8894 b=5.8894 c=5.8894 alpha=90.00 beta=90.00 gamma=90.00
Space group Pm-3m (No. 221)
Inequivalent atoms, fractional coordinates:
Na: 0.0000 0.0000 0.5000 (multiplicity 3)
Cu: 0.5000 0.5000 0.5000 (multiplicity 1)
Mo: 0.0000 0.0000 0.0000 (multiplicity 1)

Results
**Density**: 1.86 g cm⁻³
**DOS at the Fermi energy**: 5.63 states/eV/cell
**Energy above the most stable polymorph in this dataset**: 359 meV per atom
**DFT total energy**: -2.2472 eV per atom
**ΔH_f (0 K)**: 1.5297 eV/atom

---

Entry 2:
Pm5Si5Au2 | PBE | optimized geometry

Unit cell a=11.7387 b=4.2791 c=11.4846 alpha=90.00 beta=110.69 gamma=90.00
Space group C2/m (No. 12)
Inequivalent atoms, fractional coordinates:
Pm: 0.0000 0.0000 0.0000 (multiplicity 2)
Pm: 0.1198 0.5000 0.7740 (multiplicity 4)
Pm: 0.1567 0.5000 0.5000 (multiplicity 4)
Si: 0.0000 0.0000 0.5000 (multiplicity 2)
Si: 0.0892 0.0000 0.2922 (multiplicity 4)
Si: 0.2225 0.5000 0.0415 (multiplicity 4)
Au: 0.1749 0.5000 0.2382 (multiplicity 4)

Results
**Density**: 7.75 g cm⁻³
**DOS at the Fermi energy**: 12.24 states/eV/cell
**DFT total energy**: -5.3793 eV per atom

---

Entry 3:
Pu2SnS | PBE | optimized geometry

Unit cell a=3.9626 b=3.9626 c=23.1069 alpha=90.00 beta=90.00 gamma=120.00
Space group R-3m (No. 166, hexagonal axes)
Inequivalent atoms, fractional coordinates:
Pu: 0.0000 0.0000 0.2361 (multiplicity 6)
Sn: 0.0000 0.0000 0.0000 (multiplicity 3)
S: 0.0000 0.0000 0.5000 (multiplicity 3)

Results
**Density**: 10.13 g cm⁻³
**DOS at the Fermi energy**: 59.04 states/eV/cell
**Energy above the most stable polymorph in this dataset**: 17 meV per atom
**DFT total energy**: -10.0915 eV per atom

---

Entry 4:
Ac2DyGe3Pd4 | PBE | optimized geometry

Unit cell a=4.4227 b=4.4227 c=11.2717 alpha=90.00 beta=90.00 gamma=90.00
Space group P-4m2 (No. 115)
Inequivalent atoms, fractional coordinates:
Ac: 0.0000 0.5000 0.2285 (multiplicity 2)
Dy: 0.0000 0.0000 0.5000 (multiplicity 1)
Ge: 0.0000 0.5000 0.8824 (multiplicity 2)
Ge: 0.5000 0.5000 0.5000 (multiplicity 1)
Pd: 0.0000 0.0000 0.0000 (multiplicity 1)
Pd: 0.0000 0.5000 0.6554 (multiplicity 2)
Pd: 0.5000 0.5000 0.0000 (multiplicity 1)

Results
**Density**: 9.49 g cm⁻³
**DOS at the Fermi energy**: 5.62 states/eV/cell
**DFT total energy**: -5.5975 eV per atom
**ΔH_f (0 K)**: -0.8533 eV/atom

---

Entry 5:
Dy8ThSc5 | PBE | optimized geometry

Unit cell a=14.2749 b=8.3359 c=9.0242 alpha=90.00 beta=128.29 gamma=90.00
Space group C2 (No. 5)
Inequivalent atoms, fractional coordinates:
Dy: 0.0530 0.0000 0.2048 (multiplicity 4)
Dy: 0.1564 0.3559 0.1178 (multiplicity 4)
Dy: 0.1864 0.6589 0.4610 (multiplicity 4)
Dy: 0.2489 0.3057 0.8407 (multiplicity 4)
Th: 0.0000 0.9727 0.5000 (multiplicity 2)
Sc: 0.0000 0.6623 0.0000 (multiplicity 2)
Sc: 0.0452 0.3262 0.3759 (multiplicity 4)
Sc: 0.0973 0.6354 0.7350 (multiplicity 4)

Results
**Density**: 6.92 g cm⁻³
**DOS at the Fermi energy**: 49.34 states/eV/cell
**DFT total energy**: -5.1730 eV per atom
**ΔH_f (0 K)**: 0.2480 eV/atom

---

Entry 6:
CaSi2NiIr | PBE | optimized geometry

Unit cell a=3.9891 b=3.9891 c=10.1639 alpha=90.00 beta=90.00 gamma=90.00
Space group I-4m2 (No. 119)
Inequivalent atoms, fractional coordinates:
Ca: 0.0000 0.0000 0.0000 (multiplicity 2)
Si: 0.0000 0.0000 0.3771 (multiplicity 4)
Ni: 0.0000 0.5000 0.7500 (multiplicity 2)
Ir: 0.0000 0.5000 0.2500 (multiplicity 2)

Results
**Density**: 7.13 g cm⁻³
**DOS at the Fermi energy**: 4.92 states/eV/cell
**DFT total energy**: -6.2633 eV per atom

---

Entry 7:
Hf7Ga2Sn2 | PBE | optimized geometry

Unit cell a=8.0975 b=9.8759 c=6.4049 alpha=90.00 beta=90.00 gamma=90.00
Space group Cmmm (No. 65)
Inequivalent atoms, fractional coordinates:
Hf: 0.0000 0.0000 0.0000 (multiplicity 2)
Hf: 0.0000 0.5000 0.2542 (multiplicity 4)
Hf: 0.2500 0.2500 0.2616 (multiplicity 8)
Ga: 0.0000 0.2762 0.0000 (multiplicity 4)
Sn: 0.1792 0.0000 0.5000 (multiplicity 4)

Results
**Density**: 10.54 g cm⁻³
**DOS at the Fermi energy**: 16.47 states/eV/cell
**DFT total energy**: -7.5188 eV per atom
**ΔH_f (0 K)**: 0.0933 eV/atom

---

Entry 8:
Ce3PmH8 | PBE | optimized geometry

Unit cell a=5.4410 b=5.4410 c=5.4410 alpha=90.00 beta=90.00 gamma=90.00
Space group Pm-3m (No. 221)
Inequivalent atoms, fractional coordinates:
Ce: 0.0000 0.0000 0.5000 (multiplicity 3)
Pm: 0.5000 0.5000 0.5000 (multiplicity 1)
H: 0.2509 0.2509 0.2509 (multiplicity 8)

Results
**Density**: 5.91 g cm⁻³
**DOS at the Fermi energy**: 21.56 states/eV/cell
**DFT total energy**: -4.6775 eV per atom

---

Entry 9:
Ba6PtAu2Cl | PBE | optimized geometry

Unit cell a=7.9019 b=8.7449 c=14.1567 alpha=90.00 beta=122.65 gamma=90.00
Space group P2_1/c (No. 14)
Inequivalent atoms, fractional coordinates:
Ba: 0.0881 0.0473 0.2425 (multiplicity 4)
Ba: 0.2428 0.6903 0.0769 (multiplicity 4)
Ba: 0.3940 0.1728 0.0719 (multiplicity 4)
Pt: 0.0000 0.0000 0.0000 (multiplicity 2)
Au: 0.3067 0.1117 0.7516 (multiplicity 4)
Cl: 0.5000 0.0000 0.5000 (multiplicity 2)

Results
**Density**: 5.84 g cm⁻³
**DOS at the Fermi energy**: 12.66 states/eV/cell
**DFT total energy**: -3.4581 eV per atom

---

Entry 10:
CrSiMo2 | PBE | optimized geometry

Unit cell a=3.1810 b=3.1810 c=5.5388 alpha=90.00 beta=90.00 gamma=90.00
Space group P4/mmm (No. 123)
Inequivalent atoms, fractional coordinates:
Cr: 0.0000 0.0000 0.0000 (multiplicity 1)
Si: 0.0000 0.0000 0.5000 (multiplicity 1)
Mo: 0.5000 0.5000 0.2566 (multiplicity 2)

Results
**Density**: 8.06 g cm⁻³
**DOS at the Fermi energy**: 3.37 states/eV/cell
**DFT total energy**: -9.2116 eV per atom

---

Entry 11:
Li2ZrTa | PBE | optimized geometry

Unit cell a=2.9475 b=4.8070 c=10.8968 alpha=90.00 beta=90.00 gamma=90.00
Space group Cmmm (No. 65)
Inequivalent atoms, fractional coordinates:
Li: 0.0000 0.0000 0.2403 (multiplicity 4)
Zr: 0.0000 0.5000 0.5000 (multiplicity 2)
Ta: 0.0000 0.5000 0.0000 (multiplicity 2)

Results
**Density**: 6.15 g cm⁻³
**DOS at the Fermi energy**: 5.92 states/eV/cell
**Energy above the most stable polymorph in this dataset**: 133 meV per atom
**DFT total energy**: -5.7150 eV per atom
**ΔH_f (0 K)**: 0.3421 eV/atom

---

Entry 12:
Mg2TcSb2 | PBE | optimized geometry

Unit cell a=6.9357 b=6.9357 c=4.5878 alpha=90.00 beta=90.00 gamma=90.00
Space group P4/mbm (No. 127)
Inequivalent atoms, fractional coordinates:
Mg: 0.1711 0.3289 0.0000 (multiplicity 4)
Tc: 0.0000 0.0000 0.5000 (multiplicity 2)
Sb: 0.1472 0.6472 0.5000 (multiplicity 4)

Results
**Density**: 5.87 g cm⁻³
**DOS at the Fermi energy**: 5.12 states/eV/cell
**DFT total energy**: -4.3221 eV per atom

---

Entry 13:
NaGaCuPt | PBE | optimized geometry

Unit cell a=6.2827 b=6.2827 c=6.2827 alpha=90.00 beta=90.00 gamma=90.00
Space group F-43m (No. 216)
Inequivalent atoms, fractional coordinates:
Na: 0.0000 0.0000 0.0000 (multiplicity 4)
Ga: 0.2500 0.2500 0.7500 (multiplicity 4)
Cu: 0.2500 0.2500 0.2500 (multiplicity 4)
Pt: 0.0000 0.0000 0.5000 (multiplicity 4)

Results
**Density**: 9.41 g cm⁻³
**DOS at the Fermi energy**: 3.21 states/eV/cell
**DFT total energy**: -3.8213 eV per atom
**ΔH_f (0 K)**: -0.2006 eV/atom

---

Entry 14:
ZnOsCl2 | PBE | optimized geometry

Unit cell a=3.6359 b=3.6359 c=27.7956 alpha=90.00 beta=90.00 gamma=120.00
Space group R-3m (No. 166, hexagonal axes)
Inequivalent atoms, fractional coordinates:
Zn: 0.0000 0.0000 0.0000 (multiplicity 3)
Os: 0.0000 0.0000 0.5000 (multiplicity 3)
Cl: 0.0000 0.0000 0.2089 (multiplicity 6)

Results
**Density**: 5.11 g cm⁻³
**Energy above the most stable polymorph in this dataset**: 387 meV per atom
**DFT total energy**: -3.6716 eV per atom

---

Entry 15:
La2ZrCl | PBE | optimized geometry

Unit cell a=4.3416 b=4.3416 c=12.3159 alpha=90.00 beta=90.00 gamma=90.00
Space group I-4m2 (No. 119)
Inequivalent atoms, fractional coordinates:
La: 0.0000 0.0000 0.0000 (multiplicity 2)
La: 0.0000 0.5000 0.2500 (multiplicity 2)
Zr: 0.0000 0.5000 0.7500 (multiplicity 2)
Cl: 0.0000 0.0000 0.5000 (multiplicity 2)

Results
**Density**: 5.79 g cm⁻³
**DOS at the Fermi energy**: 15.64 states/eV/cell
**Energy above the most stable polymorph in this dataset**: 509 meV per atom
**DFT total energy**: -5.1325 eV per atom

---

Entry 16:
CaAc2Zn | PBE | optimized geometry

Unit cell a=8.2728 b=8.2728 c=8.2728 alpha=90.00 beta=90.00 gamma=90.00
Space group Fm-3m (No. 225)
Inequivalent atoms, fractional coordinates:
Ca: 0.0000 0.0000 0.0000 (multiplicity 4)
Ac: 0.2500 0.2500 0.2500 (multiplicity 8)
Zn: 0.0000 0.0000 0.5000 (multiplicity 4)

Results
**Density**: 6.56 g cm⁻³
**DOS at the Fermi energy**: 15.68 states/eV/cell
**Energy above the most stable polymorph in this dataset**: 143 meV per atom
**DFT total energy**: -2.8347 eV per atom
**ΔH_f (0 K)**: 0.0384 eV/atom

---

Entry 17:
NdPu2ScBi4 | PBE | optimized geometry

Unit cell a=7.7597 b=4.5040 c=7.8064 alpha=90.00 beta=109.41 gamma=90.00
Space group P2/m (No. 10)
Inequivalent atoms, fractional coordinates:
Nd: 0.0000 0.0000 0.0000 (multiplicity 1)
Pu: 0.5000 0.0000 0.5000 (multiplicity 1)
Pu: 0.5000 0.5000 0.0000 (multiplicity 1)
Sc: 0.0000 0.5000 0.5000 (multiplicity 1)
Bi: 0.2398 0.0000 0.7358 (multiplicity 2)
Bi: 0.2478 0.5000 0.2606 (multiplicity 2)

Results
**Density**: 9.76 g cm⁻³
**DOS at the Fermi energy**: 35.09 states/eV/cell
**DFT total energy**: -7.4429 eV per atom
**ΔH_f (0 K)**: -0.5320 eV/atom

---

Entry 18:
PaTe3 | PBE | optimized geometry

Unit cell a=6.1507 b=4.2119 c=10.5459 alpha=90.00 beta=97.82 gamma=90.00
Space group P2_1/m (No. 11)
Inequivalent atoms, fractional coordinates:
Pa: 0.2119 0.2500 0.3351 (multiplicity 2)
Te: 0.0762 0.2500 0.8219 (multiplicity 2)
Te: 0.2629 0.7500 0.5556 (multiplicity 2)
Te: 0.4264 0.7500 0.1774 (multiplicity 2)

Results
**Density**: 7.53 g cm⁻³
**DOS at the Fermi energy**: 4.32 states/eV/cell
**DFT total energy**: -5.4812 eV per atom

---

Entry 19:
Dy6Th5 | PBE | optimized geometry

Unit cell a=5.4561 b=8.1828 c=16.1983 alpha=90.00 beta=90.00 gamma=90.00
Space group Immm (No. 71)
Inequivalent atoms, fractional coordinates:
Dy: 0.0000 0.2070 0.1408 (multiplicity 8)
Dy: 0.0000 0.2899 0.5000 (multiplicity 4)
Th: 0.0000 0.0000 0.3417 (multiplicity 4)
Th: 0.0000 0.5000 0.0000 (multiplicity 2)
Th: 0.0000 0.5000 0.2984 (multiplicity 4)

Results
**Density**: 9.81 g cm⁻³
**DOS at the Fermi energy**: 32.21 states/eV/cell
**DFT total energy**: -5.7192 eV per atom
**ΔH_f (0 K)**: 0.1637 eV/atom

---

Entry 20:
SrSi2Ni | PBE | optimized geometry

Unit cell a=3.9474 b=3.9474 c=17.0461 alpha=90.00 beta=90.00 gamma=120.00
Space group R-3m (No. 166, hexagonal axes)
Inequivalent atoms, fractional coordinates:
Sr: 0.0000 0.0000 0.0000 (multiplicity 3)
Si: 0.0000 0.0000 0.2038 (multiplicity 6)
Ni: 0.0000 0.0000 0.5000 (multiplicity 3)

Results
**Density**: 4.39 g cm⁻³
**DOS at the Fermi energy**: 2.18 states/eV/cell
**DFT total energy**: -5.1245 eV per atom